Model A:
Computed, not measured: an optimized crystal structure of Al3GeTe at the GGA-PBE level of DFT.

a b c (Å): 4.978 4.978 4.978
angles (deg): 90.00 90.00 90.00
Atoms (fractional coordinates):
Ge  0.000  0.000  0.000
Te  0.500  0.500  0.500
Al  0.000  0.500  0.000
Al  0.000  0.000  0.500
Al  0.500  0.000  0.000

Results
**Total moment**: 0.000 μB/atom

Model B:
Computed, not measured: an optimized crystal structure of Al3GeTe at the GGA-PBE level of DFT.

a b c (Å): 5.284 5.284 5.284
angles (deg): 90.00 90.00 90.00
Atoms (fractional coordinates):
Ge  0.500  0.500  0.500
Te  0.000  0.000  0.000
Al  0.000  0.500  0.000
Al  0.000  0.000  0.500
Al  0.500  0.000  0.000

Results
**Total moment**: 0.000 μB/atom

It turns out model A is the most stable, with the second structure 653 meV/atom higher.

Model A:
Computed, not measured: an optimized crystal structure of AlGe2Te at the GGA-PBE level of DFT.

a b c (Å): 4.962 4.962 4.962
angles (deg): 60.00 60.00 60.00
Atoms (fractional coordinates):
Ge  0.250  0.250  0.250
Ge  0.750  0.750  0.750
Te  0.500  0.500  0.500
Al  0.000  0.000  0.000

Results
**Total moment**: 0.000 μB/atom

Model B:
Computed, not measured: an optimized crystal structure of AlGe2Te at the GGA-PBE level of DFT.

a b c (Å): 6.074 6.074 7.582
angles (deg): 66.39 66.39 90.00
Atoms (fractional coordinates):
Ge  0.580  0.125  0.250
Ge  0.170  0.625  0.250
Ge  0.375  0.420  0.750
Ge  0.875  0.830  0.750
Te  0.000  0.000  0.000
Te  0.750  0.250  0.500
Al  0.500  0.500  0.000
Al  0.250  0.750  0.500

Results
**Total moment**: 0.000 μB/atom

It turns out model B is the most stable, with the second structure 163 meV/atom higher.

Model A:
Computed, not measured: an optimized crystal structure of Al2GeTe4 at the GGA-PBE level of DFT.

a b c (Å): 5.568 5.568 7.961
angles (deg): 69.53 69.53 90.00
Atoms (fractional coordinates):
Ge  0.000  0.000  0.000
Te  0.778  0.778  0.443
Te  0.222  0.222  0.557
Te  0.000  0.500  0.000
Te  0.500  0.000  0.000
Al  0.595  0.595  0.811
Al  0.405  0.405  0.189

Results
**Total moment**: 0.000 μB/atom

Model B:
Computed, not measured: an optimized crystal structure of Al2GeTe4 at the GGA-PBE level of DFT.

a b c (Å): 6.778 6.778 6.778
angles (deg): 104.53 104.53 119.89
Atoms (fractional coordinates):
Al  0.250  0.750  0.500
Al  0.750  0.250  0.500
Ge  0.500  0.500  0.000
Te  0.328  0.178  0.507
Te  0.822  0.328  0.150
Te  0.178  0.672  0.850
Te  0.672  0.822  0.493

Results
**Total moment**: 0.000 μB/atom

It turns out model B is the most stable, with the second structure 367 meV/atom higher.

Model A:
Computed, not measured: an optimized crystal structure of Th4AlGe at the GGA-PBE level of DFT.

a b c (Å): 5.981 7.508 7.508
angles (deg): 90.00 90.00 90.00
Atoms (fractional coordinates):
Th  0.000  0.157  0.662
Th  0.000  0.843  0.338
Th  0.000  0.338  0.157
Th  0.000  0.662  0.843
Th  0.500  0.843  0.662
Th  0.500  0.157  0.338
Th  0.500  0.662  0.157
Th  0.500  0.338  0.843
Al  0.250  0.500  0.500
Al  0.750  0.500  0.500
Ge  0.250  0.000  0.000
Ge  0.750  0.000  0.000

Results
**Total moment**: 0.000 μB/atom

Model B:
Computed, not measured: an optimized crystal structure of Th4AlGe at the GGA-PBE level of DFT.

a b c (Å): 6.090 6.090 6.090
angles (deg): 103.82 103.82 121.49
Atoms (fractional coordinates):
Th  0.410  0.910  0.821
Th  0.090  0.590  0.179
Th  0.590  0.410  0.500
Th  0.910  0.090  0.500
Al  0.500  0.500  0.000
Ge  0.000  0.000  0.000

Results
**Total moment**: 0.000 μB/atom

It turns out model B is the most stable, with the second structure 7 meV/atom higher.

Model A:
Computed, not measured: an optimized crystal structure of TiAl3Ge at the GGA-PBE level of DFT.

a b c (Å): 4.284 5.564 8.362
angles (deg): 90.00 120.16 90.00
Atoms (fractional coordinates):
Ti  0.327  0.750  0.078
Ti  0.673  0.250  0.922
Al  0.002  0.991  0.257
Al  0.998  0.491  0.743
Al  0.998  0.009  0.743
Al  0.002  0.509  0.257
Al  0.390  0.250  0.143
Al  0.610  0.750  0.857
Ge  0.320  0.250  0.560
Ge  0.680  0.750  0.440

Results
**Total moment**: 0.000 μB/atom

Model B:
Computed, not measured: an optimized crystal structure of TiAl3Ge at the GGA-PBE level of DFT.

a b c (Å): 4.964 4.964 4.964
angles (deg): 90.00 90.00 90.00
Atoms (fractional coordinates):
Ge  0.500  0.500  0.500
Al  0.000  0.500  0.000
Al  0.000  0.000  0.500
Al  0.500  0.000  0.000
Ti  0.000  0.000  0.000

Results
**Total moment**: 0.221 μB/atom

It turns out model A is the most stable, with the second structure 1041 meV/atom higher.

Model A:
Computed, not measured: an optimized crystal structure of TiAl3Ge at the GGA-PBE level of DFT.

a b c (Å): 4.772 4.772 4.772
angles (deg): 90.00 90.00 90.00
Atoms (fractional coordinates):
Ge  0.000  0.000  0.000
Al  0.000  0.500  0.000
Al  0.000  0.000  0.500
Al  0.500  0.000  0.000
Ti  0.500  0.500  0.500

Results
**Total moment**: 0.000 μB/atom

Model B:
Computed, not measured: an optimized crystal structure of TiAl3Ge at the GGA-PBE level of DFT.

a b c (Å): 3.996 3.996 10.608
angles (deg): 90.00 90.00 90.00
Atoms (fractional coordinates):
Ti  0.500  0.000  0.194
Ti  0.000  0.500  0.194
Al  0.500  0.500  0.609
Al  0.000  0.000  0.383
Al  0.500  0.500  0.004
Al  0.000  0.000  0.004
Al  0.000  0.500  0.809
Al  0.500  0.000  0.809
Ge  0.500  0.500  0.369
Ge  0.000  0.000  0.626

Results
**Total moment**: 0.000 μB/atom

It turns out model B is the most stable, with the second structure 1017 meV/atom higher.

Model A:
Computed, not measured: an optimized crystal structure of TiAlGe3 at the GGA-PBE level of DFT.

a b c (Å): 4.790 4.790 4.790
angles (deg): 90.00 90.00 90.00
Atoms (fractional coordinates):
Ge  0.000  0.500  0.000
Ge  0.000  0.000  0.500
Ge  0.500  0.000  0.000
Al  0.000  0.000  0.000
Ti  0.500  0.500  0.500

Results
**Total moment**: 0.000 μB/atom

Model B:
Computed, not measured: an optimized crystal structure of TiAlGe3 at the GGA-PBE level of DFT.

a b c (Å): 4.912 4.912 4.912
angles (deg): 90.00 90.00 90.00
Atoms (fractional coordinates):
Ge  0.000  0.500  0.000
Ge  0.000  0.000  0.500
Ge  0.500  0.000  0.000
Al  0.500  0.500  0.500
Ti  0.000  0.000  0.000

Results
**Total moment**: 0.000 μB/atom

It turns out model B is the most stable, with the second structure 422 meV/atom higher.

Model A:
Computed, not measured: an optimized crystal structure of Y2TiAlGe at the GGA-PBE level of DFT.

a b c (Å): 5.242 4.919 5.242
angles (deg): 90.00 90.00 90.00
Atoms (fractional coordinates):
Y  0.000  0.000  0.500
Y  0.500  0.000  0.000
Ge  0.000  0.500  0.000
Al  0.500  0.500  0.500
Ti  0.000  0.000  0.000

Results
**Total moment**: 0.000 μB/atom

Model B:
Computed, not measured: an optimized crystal structure of Y2TiAlGe at the GGA-PBE level of DFT.

a b c (Å): 5.191 5.009 5.191
angles (deg): 90.00 90.00 90.00
Atoms (fractional coordinates):
Y  0.000  0.000  0.500
Y  0.500  0.000  0.000
Ge  0.500  0.500  0.500
Al  0.000  0.500  0.000
Ti  0.000  0.000  0.000

Results
**Total moment**: 0.000 μB/atom

It turns out model A is the most stable, with the second structure 159 meV/atom higher.

Model A:
Computed, not measured: an optimized crystal structure of AlTlGe3 at the GGA-PBE level of DFT.

a b c (Å): 4.978 4.978 4.978
angles (deg): 90.00 90.00 90.00
Atoms (fractional coordinates):
Tl  0.500  0.500  0.500
Ge  0.000  0.500  0.000
Ge  0.000  0.000  0.500
Ge  0.500  0.000  0.000
Al  0.000  0.000  0.000

Results
**Total moment**: 0.000 μB/atom

Model B:
Computed, not measured: an optimized crystal structure of AlTlGe3 at the GGA-PBE level of DFT.

a b c (Å): 5.368 5.368 5.368
angles (deg): 90.00 90.00 90.00
Atoms (fractional coordinates):
Tl  0.000  0.000  0.000
Ge  0.000  0.500  0.000
Ge  0.000  0.000  0.500
Ge  0.500  0.000  0.000
Al  0.500  0.500  0.500

Results
**Total moment**: 0.000 μB/atom

It turns out model A is the most stable, with the second structure 682 meV/atom higher.

Model A:
Computed, not measured: an optimized crystal structure of Al2TlGe at the GGA-PBE level of DFT.

a b c (Å): 7.758 7.758 6.221
angles (deg): 51.42 51.42 90.00
Atoms (fractional coordinates):
Tl  0.000  0.000  0.000
Tl  0.750  0.250  0.500
Ge  0.500  0.500  0.000
Ge  0.250  0.750  0.500
Al  0.576  0.125  0.250
Al  0.174  0.625  0.250
Al  0.375  0.424  0.750
Al  0.875  0.826  0.750

Results
**Total moment**: 0.000 μB/atom

Model B:
Computed, not measured: an optimized crystal structure of Al2TlGe at the GGA-PBE level of DFT.

a b c (Å): 4.013 4.013 6.939
angles (deg): 73.19 73.19 60.00
Atoms (fractional coordinates):
Tl  0.500  0.500  0.500
Ge  0.000  0.000  0.000
Al  0.272  0.272  0.184
Al  0.728  0.728  0.816

Results
**Total moment**: 0.000 μB/atom

It turns out model B is the most stable, with the second structure 76 meV/atom higher.

Model A:
Computed, not measured: an optimized crystal structure of TmAlGe2 at the GGA-PBE level of DFT.

a b c (Å): 3.994 4.401 4.401
angles (deg): 90.00 90.00 90.00
Atoms (fractional coordinates):
Ge  0.000  0.000  0.500
Ge  0.000  0.500  0.000
Tm  0.500  0.500  0.500
Al  0.500  0.000  0.000

Results
**Total moment**: 0.000 μB/atom

Model B:
Computed, not measured: an optimized crystal structure of TmAlGe2 at the GGA-PBE level of DFT.

a b c (Å): 4.056 4.056 9.886
angles (deg): 101.84 101.84 90.00
Atoms (fractional coordinates):
Tm  0.114  0.114  0.228
Tm  0.886  0.886  0.772
Al  0.750  0.250  0.500
Al  0.250  0.750  0.500
Ge  0.345  0.345  0.691
Ge  0.655  0.655  0.309
Ge  0.500  0.000  0.000
Ge  0.000  0.500  0.000

Results
**Total moment**: 0.000 μB/atom

Model C:
Computed, not measured: an optimized crystal structure of TmAlGe2 at the GGA-PBE level of DFT.

a b c (Å): 4.402 4.402 5.412
angles (deg): 66.01 66.01 60.00
Atoms (fractional coordinates):
Ge  0.277  0.277  0.170
Ge  0.723  0.723  0.830
Tm  0.500  0.500  0.500
Al  0.000  0.000  0.000

Results
**Total moment**: 0.000 μB/atom

It turns out model B is the most stable, with the second structure 36 meV/atom higher.

Model A:
Computed, not measured: an optimized crystal structure of UAl2Ge at the GGA-PBE level of DFT.

a b c (Å): 4.073 4.078 5.554
angles (deg): 111.54 111.51 90.00
Atoms (fractional coordinates):
U  0.000  0.000  0.000
Al  0.250  0.750  0.500
Al  0.750  0.250  0.500
Ge  0.500  0.500  0.000

Results
**Total moment**: 0.567 μB/atom

Model B:
Computed, not measured: an optimized crystal structure of UAl2Ge at the GGA-PBE level of DFT.

a b c (Å): 4.375 4.375 5.580
angles (deg): 66.92 66.92 60.00
Atoms (fractional coordinates):
Ge  0.500  0.500  0.500
U  0.000  0.000  0.000
Al  0.214  0.214  0.357
Al  0.786  0.786  0.643

Results
**Total moment**: 0.628 μB/atom

Model C:
Computed, not measured: an optimized crystal structure of UAl2Ge at the GGA-PBE level of DFT.

a b c (Å): 4.366 4.162 4.162
angles (deg): 90.00 90.00 90.00
Atoms (fractional coordinates):
Ge  0.500  0.000  0.000
U  0.500  0.500  0.500
Al  0.000  0.000  0.500
Al  0.000  0.500  0.000

Results
**Total moment**: 0.397 μB/atom

It turns out model C is the most stable, with the second structure 161 meV/atom higher.

Model A:
Computed, not measured: an optimized crystal structure of Al3VGe at the GGA-PBE level of DFT.

a b c (Å): 4.784 4.784 4.784
angles (deg): 90.00 90.00 90.00
Atoms (fractional coordinates):
Ge  0.500  0.500  0.500
Al  0.000  0.500  0.000
Al  0.000  0.000  0.500
Al  0.500  0.000  0.000
V  0.000  0.000  0.000

Results
**Total moment**: 0.000 μB/atom

Model B:
Computed, not measured: an optimized crystal structure of Al3VGe at the GGA-PBE level of DFT.

a b c (Å): 4.841 4.841 4.841
angles (deg): 90.00 90.00 90.00
Atoms (fractional coordinates):
Ge  0.000  0.000  0.000
Al  0.000  0.500  0.000
Al  0.000  0.000  0.500
Al  0.500  0.000  0.000
V  0.500  0.500  0.500

Results
**Total moment**: 0.700 μB/atom

It turns out model A is the most stable, with the second structure 206 meV/atom higher.